No. 1
A geometry-optimized MgInRu2 structure, computed with PBE.

a = 4.481 Å, b = 4.481 Å, c = 3.229 Å
α = 90.00°, β = 90.00°, γ = 90.03°
Fractional positions:
Ru1 0.000 0.000 0.000
Mg1 0.000 0.500 0.500
In1 0.500 0.000 0.500
Ru2 0.500 0.500 0.000

total energy	-5.600	eV/atom
crystal system	tetragonal
E_form	0.1212	eV/atom

No. 2
A geometry-optimized MgInRu2 structure, computed with PBE.

a = 4.402 Å, b = 2.868 Å, c = 5.275 Å
α = 84.54°, β = 90.00°, γ = 90.00°
Fractional positions:
Mg1 0.500 0.750 0.750
Ru1 0.000 0.497 0.530
In1 0.500 0.250 0.250
Ru2 0.000 0.003 0.970

total energy	-5.512	eV/atom
crystal system	monoclinic
E_form	0.2087	eV/atom

No. 3
A geometry-optimized MgInRu2 structure, computed with PBE.

a = 2.881 Å, b = 2.881 Å, c = 8.712 Å
α = 90.00°, β = 90.00°, γ = 113.49°
Fractional positions:
In1 0.500 0.500 0.250
Mg1 0.500 0.500 0.750
Ru1 0.000 0.000 0.997
Ru2 0.000 0.000 0.503

total energy	-5.432	eV/atom
crystal system	orthorhombic
E_form	0.2890	eV/atom

No. 4
A geometry-optimized MgInRu2 structure, computed with PBE.

a = 5.262 Å, b = 5.262 Å, c = 4.764 Å
α = 70.19°, β = 70.19°, γ = 32.53°
Fractional positions:
Mg1 0.735 0.735 0.810
Ru1 0.270 0.270 0.293
In1 0.515 0.515 0.440
Ru2 0.980 0.980 0.957

total energy	-5.662	eV/atom
crystal system	monoclinic
E_form	0.0591	eV/atom

No. 5
A geometry-optimized Mg2InRuS structure, computed with PBE.

a = 4.806 Å, b = 4.434 Å, c = 4.806 Å
α = 90.00°, β = 90.00°, γ = 90.00°
Fractional positions:
Mg1 0.000 0.000 0.500
In1 0.500 0.500 0.500
S1 0.000 0.000 0.000
Mg2 0.500 0.000 0.000
Ru1 0.000 0.500 0.000

raw formation energy	0.00	eV/atom
total energy	-3.867	eV/atom
crystal system	tetragonal

No. 6
A geometry-optimized MgScIn2Ru structure, computed with PBE.

a = 5.016 Å, b = 5.165 Å, c = 5.016 Å
α = 90.00°, β = 90.00°, γ = 90.00°
Fractional positions:
In1 0.000 0.000 0.500
Sc1 0.000 0.500 0.000
In2 0.500 0.000 0.000
Ru1 0.500 0.500 0.500
Mg1 0.000 0.000 0.000

total energy	-3.362	eV/atom
crystal system	tetragonal
E_form	1.1742	eV/atom

No. 7
A geometry-optimized Mg2InSnRu structure, computed with PBE.

a = 3.350 Å, b = 4.739 Å, c = 7.275 Å
α = 109.01°, β = 103.31°, γ = 90.00°
Fractional positions:
Ru1 0.599 0.099 0.199
Mg1 0.262 0.262 0.523
Sn1 0.703 0.703 0.406
In1 0.486 0.486 0.971
Mg2 0.934 0.934 0.868

total energy	-3.854	eV/atom
crystal system	orthorhombic
E_form	-0.0132	eV/atom

No. 8
A geometry-optimized SrMgIn2Ru structure, computed with PBE.

a = 5.185 Å, b = 5.185 Å, c = 5.054 Å
α = 90.00°, β = 90.00°, γ = 90.00°
Fractional positions:
Mg1 0.000 0.000 0.500
In1 0.500 0.000 0.000
Sr1 0.500 0.500 0.500
Ru1 0.000 0.000 0.000
In2 0.000 0.500 0.000

total energy	-3.782	eV/atom
crystal system	tetragonal
E_form	-0.1766	eV/atom

The lowest total energy belongs to which entry? number 4

Which value of total energy does entry 8 give? -3.782 eV/atom

The highest total energy belongs to which entry? MgScIn2Ru